Compound: BaZrHg2Mo
Source: the Alexandria database
Functional: GGA-PBEsol
Structure: optimized geometry

POSCAR file:
```
BaZrHg2Mo
1.0
5.7493 0.0000 0.0000
0.0000 5.7493 0.0000
0.0000 0.0000 5.4480
Ba Zr Hg Mo
1 1 2 1
Cartesian
0.0000 0.0000 0.0000
0.0000 0.0000 2.7240
0.0000 2.8746 0.0000
2.8746 0.0000 0.0000
2.8746 2.8746 2.7240
```

Computed properties:
Volume (Å³ per cell): 180
Size of the total moment (μB/cell): 4.3
Space group: P4/mmm (123)
Density of states at the Fermi level (states/eV/atom): 0.90
Energy of formation from the pure elements (meV/atom): 2123

---

Compound: BaHgNO2
Source: the Alexandria database
Functional: GGA-PBEsol
Structure: optimized geometry

POSCAR file:
```
BaHgNO2
1.0
4.9061 0.0000 0.0000
0.0000 4.9061 0.0000
0.0000 0.0000 5.4204
Ba Hg N O
1 1 1 2
Cartesian
0.0000 0.0000 0.0000
2.4531 2.4531 2.7102
0.0000 0.0000 2.7102
0.0000 2.4531 0.0000
2.4531 0.0000 0.0000
```

Computed properties:
Volume (Å³ per cell): 130
E_form (uncorrected) (eV/atom): 0.695
Size of the total moment (μB/cell): 5.0
Space group: P4/mmm (123)
Density of states at the Fermi level (states/eV/atom): 0.89

---

Compound: BaHgNO2
Source: the Alexandria database
Functional: GGA-PBEsol
Structure: optimized geometry

POSCAR file:
```
BaHgNO2
1.0
4.3655 0.0000 0.0000
0.0000 4.3655 0.0000
0.0000 0.0000 4.1438
Ba Hg N O
1 1 1 2
Cartesian
0.0000 0.0000 0.0000
2.1827 2.1827 2.0719
2.1827 2.1827 0.0000
0.0000 2.1827 2.0719
2.1827 0.0000 2.0719
```

Computed properties:
Volume (Å³ per cell): 79
E_form (uncorrected) (eV/atom): -0.278
Size of the total moment (μB/cell): 1.3
Space group: P4/mmm (123)
Density of states at the Fermi level (states/eV/atom): 0.42

---

Compound: BaNa2Hg2
Source: the Alexandria database
Functional: GGA-PBEsol
Structure: optimized geometry

POSCAR file:
```
BaNa2Hg2
1.0
8.4821 0.0000 0.0000
0.0000 8.4821 0.0000
0.0000 0.0000 4.4441
Ba Na Hg
2 4 4
Cartesian
0.0000 0.0000 0.0000
4.2410 4.2410 0.0000
1.3418 2.8992 2.2221
2.8992 7.1403 2.2221
5.5829 1.3418 2.2221
7.1403 5.5829 2.2221
1.0421 5.2832 0.0000
3.1989 1.0421 0.0000
5.2832 7.4400 0.0000
7.4400 3.1989 0.0000
```

Computed properties:
Volume (Å³ per cell): 320
Size of the total moment (μB/cell): 0.0
ΔE to the lowest computed polymorph (eV per atom): 0.0735
Space group: P4/mbm (127)
Density of states at the Fermi level (states/eV/atom): 0.71
Energy of formation from the pure elements (meV/atom): -241

---

Compound: BaNa2Hg2
Source: the Alexandria database
Functional: GGA-PBEsol
Structure: optimized geometry

POSCAR file:
```
BaNa2Hg2
1.0
-2.2970 2.2970 7.3355
2.2970 -2.2970 7.3355
2.2970 2.2970 -7.3355
Ba Na Hg
1 2 2
Cartesian
0.0000 0.0000 0.0000
2.2970 0.0000 3.6677
0.0000 2.2970 3.6677
0.0000 0.0000 5.8320
0.0000 0.0000 8.8390
```

Computed properties:
Volume (Å³ per cell): 155
Size of the total moment (μB/cell): 0.0
ΔE to the lowest computed polymorph (eV per atom): 0.0000
Space group: I4/mmm (139)
Density of states at the Fermi level (states/eV/atom): 0.70
Energy of formation from the pure elements (meV/atom): -314

---

Compound: BaNbHg2O
Source: the Alexandria database
Functional: GGA-PBEsol
Structure: optimized geometry

POSCAR file:
```
BaNbHg2O
1.0
5.7226 0.0000 0.0000
0.0000 5.7226 0.0000
0.0000 0.0000 3.9050
Ba Nb Hg O
1 1 2 1
Cartesian
0.0000 0.0000 0.0000
2.8613 2.8613 0.0000
0.0000 2.8613 1.9525
2.8613 0.0000 1.9525
2.8613 2.8613 1.9525
```

Computed properties:
Volume (Å³ per cell): 128
E_form (uncorrected) (eV/atom): -0.336
Size of the total moment (μB/cell): 1.8
Space group: P4/mmm (123)
Density of states at the Fermi level (states/eV/atom): 0.88

---

Compound: BaNiHg2
Source: the Alexandria database
Functional: GGA-PBEsol
Structure: optimized geometry

POSCAR file:
```
BaNiHg2
1.0
4.3667 0.0000 0.0000
0.0000 4.3667 0.0000
0.0000 0.0000 5.2042
Ba Ni Hg
1 1 2
Cartesian
0.0000 0.0000 0.0000
2.1834 2.1834 0.0000
0.0000 2.1834 2.6021
2.1834 0.0000 2.6021
```

Computed properties:
Volume (Å³ per cell): 99
Size of the total moment (μB/cell): 0.0
Space group: P4/mmm (123)
Density of states at the Fermi level (states/eV/atom): 0.69
Energy of formation from the pure elements (meV/atom): 105

---

Compound: BaNiHg2
Source: the Alexandria database
Functional: GGA-PBEsol
Structure: optimized geometry

POSCAR file:
```
BaNiHg2
1.0
3.6302 0.0000 0.0000
0.0000 3.6302 0.0000
0.0000 0.0000 7.2910
Ba Ni Hg
1 1 2
Cartesian
0.0000 0.0000 0.0000
1.8151 1.8151 4.9665
0.0000 0.0000 4.1262
1.8151 1.8151 2.3403
```

Computed properties:
Volume (Å³ per cell): 96
Size of the total moment (μB/cell): 0.0
Space group: P4mm (99)
Density of states at the Fermi level (states/eV/atom): 0.55
Energy of formation from the pure elements (meV/atom): -44

---

Compound: BaNiHg2
Source: the Alexandria database
Functional: GGA-PBEsol
Structure: optimized geometry

POSCAR file:
```
BaNiHg2
1.0
-2.2927 2.2927 4.6375
2.2927 -2.2927 4.6375
2.2927 2.2927 -4.6375
Ba Ni Hg
1 1 2
Cartesian
0.0000 0.0000 0.0000
0.0000 0.0000 4.6375
2.2927 0.0000 2.3188
0.0000 2.2927 2.3188
```

Computed properties:
Volume (Å³ per cell): 98
Size of the total moment (μB/cell): 0.0
Space group: I4/mmm (139)
Density of states at the Fermi level (states/eV/atom): 0.49
Energy of formation from the pure elements (meV/atom): 39

---

Compound: BaNiHg2
Source: the Alexandria database
Functional: GGA-PBEsol
Structure: optimized geometry

POSCAR file:
```
BaNiHg2
1.0
4.0154 0.0000 0.0000
0.0000 4.3491 0.0000
-1.9920 0.0000 5.9866
Ba Ni Hg
1 1 2
Cartesian
0.0000 0.0000 0.0000
0.0072 2.1746 4.5463
0.0222 0.0000 3.2566
2.0240 2.1746 2.5255
```

Computed properties:
Volume (Å³ per cell): 105
Size of the total moment (μB/cell): 0.0
Space group: Pm (6)
Density of states at the Fermi level (states/eV/atom): 0.55
Energy of formation from the pure elements (meV/atom): -37

---

Compound: BaNiHg
Source: the Alexandria database
Functional: GGA-PBEsol
Structure: optimized geometry

POSCAR file:
```
BaNiHg
1.0
-1.8105 1.8105 5.5371
1.8105 -1.8105 5.5371
1.8105 1.8105 -5.5371
Ba Ni Hg
1 1 1
Cartesian
0.0000 0.0000 0.0000
0.0000 0.0000 3.1564
0.0000 0.0000 7.8997
```

Computed properties:
Volume (Å³ per cell): 73
Size of the total moment (μB/cell): 0.0
Space group: I4mm (107)
Density of states at the Fermi level (states/eV/atom): 0.95
Energy of formation from the pure elements (meV/atom): 2

---

Compound: Ba2HgO
Source: the Alexandria database
Functional: GGA-PBEsol
Structure: optimized geometry

POSCAR file:
```
Ba2HgO
1.0
0.0000 3.8193 3.8193
3.8193 0.0000 3.8193
3.8193 3.8193 0.0000
Ba Hg O
2 1 1
Cartesian
1.9096 1.9096 1.9096
5.7289 5.7289 5.7289
0.0000 0.0000 0.0000
3.8193 3.8193 3.8193
```

Computed properties:
Volume (Å³ per cell): 111
E_form (uncorrected) (eV/atom): -0.690
Size of the total moment (μB/cell): 0.0
ΔE to the lowest computed polymorph (eV per atom): 0.7005
Space group: Fm-3m (225)
Density of states at the Fermi level (states/eV/atom): 1.20